# 1
Below is a geometry-optimized LiLaTlZn structure, with properties calculated at the PBE level.

Properties
- ΔH_f (0 K) (eV/atom) = -0.299

Cell and atoms, written as CIF:
```
data_LiLaTlZn
_space_group_name_H-M_alt 'F -4 3 m'
_space_group_IT_number 216
_space_group_name_Hall 'F -4 2 3'
_cell_length_a 7.333
_cell_length_b 7.333
_cell_length_c 7.333
_cell_angle_alpha 90.00
_cell_angle_beta 90.00
_cell_angle_gamma 90.00
loop_
_atom_site_label
_atom_site_type_symbol
_atom_site_fract_x
_atom_site_fract_y
_atom_site_fract_z
Li1 Li 0.000 0.000 0.000
La1 La 0.000 0.000 0.500
Tl1 Tl 0.250 0.250 0.750
Zn1 Zn 0.250 0.250 0.250
```

---

# 2
Below is a geometry-optimized LiLa2ZrTl structure, with properties calculated at the PBE level.

Properties
- ΔH_f (0 K) (eV/atom) = 0.654

Cell and atoms, written as CIF:
```
data_LiLa2ZrTl
_space_group_name_H-M_alt 'P 4/m m m'
_space_group_IT_number 123
_space_group_name_Hall '-P 4 2'
_cell_length_a 6.089
_cell_length_b 6.089
_cell_length_c 5.499
_cell_angle_alpha 90.00
_cell_angle_beta 90.00
_cell_angle_gamma 90.00
loop_
_atom_site_label
_atom_site_type_symbol
_atom_site_fract_x
_atom_site_fract_y
_atom_site_fract_z
Li1 Li 0.000 0.000 0.000
La1 La 0.000 0.500 0.500
Zr1 Zr 0.500 0.500 0.000
Tl1 Tl 0.500 0.500 0.500
```

---

# 3
Below is a geometry-optimized Li2LaTm structure, with properties calculated at the PBE level.

Properties
- ΔH_f (0 K) (eV/atom) = 0.152

Cell and atoms, written as CIF:
```
data_Li2LaTm
_space_group_name_H-M_alt 'P 4/m m m'
_space_group_IT_number 123
_space_group_name_Hall '-P 4 2'
_cell_length_a 3.748
_cell_length_b 3.748
_cell_length_c 7.634
_cell_angle_alpha 90.00
_cell_angle_beta 90.00
_cell_angle_gamma 90.00
loop_
_atom_site_label
_atom_site_type_symbol
_atom_site_fract_x
_atom_site_fract_y
_atom_site_fract_z
Li1 Li 0.000 0.000 0.237
La1 La 0.500 0.500 0.500
Tm1 Tm 0.500 0.500 0.000
```

---

# 4
Below is a geometry-optimized LiLa14Tm structure, with properties calculated at the PBE level.

Properties
- ΔH_f (0 K) (eV/atom) = 0.031

Cell and atoms, written as CIF:
```
data_LiLa14Tm
_space_group_name_H-M_alt 'P 4/m m m'
_space_group_IT_number 123
_space_group_name_Hall '-P 4 2'
_cell_length_a 7.340
_cell_length_b 7.340
_cell_length_c 10.498
_cell_angle_alpha 90.00
_cell_angle_beta 90.00
_cell_angle_gamma 90.00
loop_
_atom_site_label
_atom_site_type_symbol
_atom_site_fract_x
_atom_site_fract_y
_atom_site_fract_z
Li1 Li 0.000 0.000 0.000
La1 La 0.000 0.000 0.500
La2 La 0.000 0.500 0.000
La3 La 0.000 0.500 0.500
La4 La 0.250 0.250 0.247
La5 La 0.500 0.500 0.500
Tm1 Tm 0.500 0.500 0.000
```

---

# 5
Below is a geometry-optimized LiLa2Tm structure, with properties calculated at the PBE level.

Properties
- ΔH_f (0 K) (eV/atom) = 0.160

Cell and atoms, written as CIF:
```
data_LiLa2Tm
_space_group_name_H-M_alt 'R -3 m'
_space_group_IT_number 166
_space_group_name_Hall '-R 3 2"'
_cell_length_a 3.5334
_cell_length_b 3.5334
_cell_length_c 37.6817
_cell_angle_alpha 90.00
_cell_angle_beta 90.00
_cell_angle_gamma 120.00
loop_
_atom_site_label
_atom_site_type_symbol
_atom_site_fract_x
_atom_site_fract_y
_atom_site_fract_z
Li1 Li 0.0000 0.0000 0.0000
La1 La 0.0000 0.0000 0.0897
Tm1 Tm 0.0000 0.0000 0.5000
```

---

# 6
Below is a geometry-optimized LiLa2Tm structure, with properties calculated at the PBE level.

Properties
- ΔH_f (0 K) (eV/atom) = 0.126

Cell and atoms, written as CIF:
```
data_LiLa2Tm
_space_group_name_H-M_alt 'F m -3 m'
_space_group_IT_number 225
_space_group_name_Hall '-F 4 2 3'
_cell_length_a 7.985
_cell_length_b 7.985
_cell_length_c 7.985
_cell_angle_alpha 90.00
_cell_angle_beta 90.00
_cell_angle_gamma 90.00
loop_
_atom_site_label
_atom_site_type_symbol
_atom_site_fract_x
_atom_site_fract_y
_atom_site_fract_z
Li1 Li 0.000 0.000 0.000
La1 La 0.250 0.250 0.250
Tm1 Tm 0.000 0.000 0.500
```

---

# 7
Below is a geometry-optimized LiLa2Tm structure, with properties calculated at the PBE level.

Properties
- ΔH_f (0 K) (eV/atom) = 0.078

Cell and atoms, written as CIF:
```
data_LiLa2Tm
_space_group_name_H-M_alt 'P 4/m m m'
_space_group_IT_number 123
_space_group_name_Hall '-P 4 2'
_cell_length_a 3.749
_cell_length_b 3.749
_cell_length_c 9.039
_cell_angle_alpha 90.00
_cell_angle_beta 90.00
_cell_angle_gamma 90.00
loop_
_atom_site_label
_atom_site_type_symbol
_atom_site_fract_x
_atom_site_fract_y
_atom_site_fract_z
Li1 Li 0.000 0.000 0.000
La1 La 0.500 0.500 0.234
Tm1 Tm 0.000 0.000 0.500
```

---

# 8
Below is a geometry-optimized Li4LaTm structure, with properties calculated at the PBE level.

Properties
- ΔH_f (0 K) (eV/atom) = 0.113

Cell and atoms, written as CIF:
```
data_Li4LaTm
_space_group_name_H-M_alt 'F -4 3 m'
_space_group_IT_number 216
_space_group_name_Hall 'F -4 2 3'
_cell_length_a 8.377
_cell_length_b 8.377
_cell_length_c 8.377
_cell_angle_alpha 90.00
_cell_angle_beta 90.00
_cell_angle_gamma 90.00
loop_
_atom_site_label
_atom_site_type_symbol
_atom_site_fract_x
_atom_site_fract_y
_atom_site_fract_z
Li1 Li 0.124 0.124 0.124
La1 La 0.000 0.000 0.500
Tm1 Tm 0.250 0.250 0.750
```

---

# 9
Below is a geometry-optimized Li2LaTm structure, with properties calculated at the PBE level.

Properties
- ΔH_f (0 K) (eV/atom) = 0.158

Cell and atoms, written as CIF:
```
data_Li2LaTm
_space_group_name_H-M_alt 'F m -3 m'
_space_group_IT_number 225
_space_group_name_Hall '-F 4 2 3'
_cell_length_a 7.570
_cell_length_b 7.570
_cell_length_c 7.570
_cell_angle_alpha 90.00
_cell_angle_beta 90.00
_cell_angle_gamma 90.00
loop_
_atom_site_label
_atom_site_type_symbol
_atom_site_fract_x
_atom_site_fract_y
_atom_site_fract_z
Li1 Li 0.250 0.250 0.250
La1 La 0.000 0.000 0.000
Tm1 Tm 0.000 0.000 0.500
```

---

# 10
Below is a geometry-optimized LiLa2Tm structure, with properties calculated at the PBE level.

Properties
- ΔH_f (0 K) (eV/atom) = 0.077

Cell and atoms, written as CIF:
```
data_LiLa2Tm
_space_group_name_H-M_alt 'R 3 m'
_space_group_IT_number 160
_space_group_name_Hall 'R 3 -2"'
_cell_length_a 3.5913
_cell_length_b 3.5913
_cell_length_c 34.7916
_cell_angle_alpha 90.00
_cell_angle_beta 90.00
_cell_angle_gamma 120.00
loop_
_atom_site_label
_atom_site_type_symbol
_atom_site_fract_x
_atom_site_fract_y
_atom_site_fract_z
Li1 Li 0.0000 0.0000 0.0000
La1 La 0.0000 0.0000 0.5838
La2 La 0.0000 0.0000 0.7505
Tm1 Tm 0.0000 0.0000 0.1673
```

---

# 11
Below is a geometry-optimized LiLaYTm structure, with properties calculated at the PBE level.

Properties
- ΔH_f (0 K) (eV/atom) = 0.154

Cell and atoms, written as CIF:
```
data_LiLaYTm
_space_group_name_H-M_alt 'F -4 3 m'
_space_group_IT_number 216
_space_group_name_Hall 'F -4 2 3'
_cell_length_a 7.868
_cell_length_b 7.868
_cell_length_c 7.868
_cell_angle_alpha 90.00
_cell_angle_beta 90.00
_cell_angle_gamma 90.00
loop_
_atom_site_label
_atom_site_type_symbol
_atom_site_fract_x
_atom_site_fract_y
_atom_site_fract_z
Li1 Li 0.000 0.000 0.000
La1 La 0.250 0.250 0.250
Y1 Y 0.250 0.250 0.750
Tm1 Tm 0.000 0.000 0.500
```

---

# 12
Below is a geometry-optimized LiLa2V structure, with properties calculated at the PBE level.

Properties
- ΔH_f (0 K) (eV/atom) = 0.544

Cell and atoms, written as CIF:
```
data_LiLa2V
_space_group_name_H-M_alt 'I -4 2 d'
_space_group_IT_number 122
_space_group_name_Hall 'I -4 2bw'
_cell_length_a 8.289
_cell_length_b 8.289
_cell_length_c 6.415
_cell_angle_alpha 90.00
_cell_angle_beta 90.00
_cell_angle_gamma 90.00
loop_
_atom_site_label
_atom_site_type_symbol
_atom_site_fract_x
_atom_site_fract_y
_atom_site_fract_z
Li1 Li 0.000 0.000 0.000
La1 La 0.236 0.250 0.625
V1 V 0.000 0.000 0.500
```

---

V (Å³/atom)
24.65; 40.77; 26.81; 35.35; 33.95; 31.82; 31.75; 24.49; 27.11; 32.38; 30.44; 27.55